1.
Cd2GaCu after structural relaxation, computed with PBE. Values from VASP.

```
&SYSTEM
  ibrav = 0, nat = 4, ntyp = 3
/
ATOMIC_SPECIES
Cd 112.41 Cd.upf
Ga 69.72 Ga.upf
Cu 63.55 Cu.upf
CELL_PARAMETERS angstrom
4.220 0.000 0.000
0.000 4.220 0.000
0.000 0.000 4.149
ATOMIC_POSITIONS angstrom
Cd 0.000 2.110 0.000
Cd 2.110 0.000 0.000
Ga 0.000 0.000 2.074
Cu 2.110 2.110 2.074
```

## Properties
Space group: P4/mmm (123)
Density of states at the Fermi level in states/eV/cell: 1.3
E_form in meV per atom: 113
Calculated density in Mg/m³: 8.05

2.
NbSeBr2F after structural relaxation, computed with PBE. Values from VASP.

```
&SYSTEM
  ibrav = 0, nat = 5, ntyp = 4
/
ATOMIC_SPECIES
Nb 92.91 Nb.upf
Se 78.96 Se.upf
Br 79.90 Br.upf
F 19.00 F.upf
CELL_PARAMETERS angstrom
5.148 0.000 0.000
0.000 5.148 0.000
0.000 0.000 4.945
ATOMIC_POSITIONS angstrom
Nb 0.000 0.000 0.000
Se 0.000 0.000 2.472
Br 0.000 2.574 0.000
Br 2.574 0.000 0.000
F 2.574 2.574 2.472
```

## Properties
Formation energy (no corrections) in eV per atom: -0.456
Space group: P4/mmm (123)
Density of states at the Fermi level in states/eV/cell: 8.9
Distance to the lowest polymorph of the same formula in meV/atom: 0
Calculated density in Mg/m³: 4.44

3.
HfAlCd2 after structural relaxation, computed with PBE. Values from VASP.

```
&SYSTEM
  ibrav = 0, nat = 4, ntyp = 3
/
ATOMIC_SPECIES
Hf 178.49 Hf.upf
Al 26.98 Al.upf
Cd 112.41 Cd.upf
CELL_PARAMETERS angstrom
1.531 0.884 10.764
-1.531 0.884 10.764
0.000 -1.768 10.764
ATOMIC_POSITIONS angstrom
Hf 0.000 0.000 0.000
Al 0.000 0.000 16.145
Cd 0.000 0.000 2.967
Cd 0.000 0.000 29.324
```

## Properties
Space group: R-3m (166)
Density of states at the Fermi level in states/eV/cell: 1.8
E_form in meV per atom: 312
Calculated density in Mg/m³: 8.18

4.
BeReF after structural relaxation, computed with PBE. Values from VASP.

```
&SYSTEM
  ibrav = 0, nat = 6, ntyp = 3
/
ATOMIC_SPECIES
Be 9.01 Be.upf
Re 186.21 Re.upf
F 19.00 F.upf
CELL_PARAMETERS angstrom
2.625 0.000 0.000
1.312 2.275 0.000
1.173 0.459 14.023
ATOMIC_POSITIONS angstrom
Be 0.000 0.000 0.000
Be 1.225 0.550 6.989
Re 2.627 1.516 2.021
Re 3.801 1.980 12.002
F 2.536 1.309 6.087
F 3.850 2.069 7.891
```

## Properties
Formation energy (no corrections) in eV per atom: -1.046
Space group: P1 (1)
Density of states at the Fermi level in states/eV/cell: 3.0
Distance to the lowest polymorph of the same formula in meV/atom: 19
Calculated density in Mg/m³: 8.49

5.
LaNd2Tm5Sc after structural relaxation, computed with PBE. Values from VASP.

```
&SYSTEM
  ibrav = 0, nat = 18, ntyp = 4
/
ATOMIC_SPECIES
La 138.91 La.upf
Nd 144.24 Nd.upf
Tm 168.93 Tm.upf
Sc 44.96 Sc.upf
CELL_PARAMETERS angstrom
-4.324 4.324 7.620
4.324 -4.324 7.620
4.324 4.324 -7.620
ATOMIC_POSITIONS angstrom
La 0.000 0.000 3.810
La 0.000 0.000 11.430
Nd 5.351 1.027 0.000
Nd 1.027 3.297 0.000
Nd 3.297 1.027 7.620
Nd -1.027 3.297 7.620
Tm 0.000 0.000 0.000
Tm 2.548 1.776 -2.119
Tm 2.548 -1.776 5.502
Tm 2.548 1.776 2.119
Tm 2.548 -1.776 9.739
Tm 0.000 0.000 7.620
Tm 1.776 6.100 -2.119
Tm 1.776 2.548 5.502
Tm 1.776 6.100 2.119
Tm 1.776 2.548 9.739
Sc 4.324 0.000 3.810
Sc 0.000 4.324 3.810
```

## Properties
Space group: I4/mcm (140)
Density of states at the Fermi level in states/eV/cell: 20.7
E_form in meV per atom: 266
Calculated density in Mg/m³: 7.68

6.
InFe2Si after structural relaxation, computed with PBE. Values from VASP.

```
&SYSTEM
  ibrav = 0, nat = 4, ntyp = 3
/
ATOMIC_SPECIES
In 114.82 In.upf
Fe 55.84 Fe.upf
Si 28.09 Si.upf
CELL_PARAMETERS angstrom
1.438 0.830 7.856
-1.438 0.830 7.856
0.000 -1.660 7.856
ATOMIC_POSITIONS angstrom
In 0.000 0.000 0.000
Fe 0.000 0.000 5.654
Fe 0.000 0.000 17.916
Si 0.000 0.000 11.785
```

## Properties
Formation energy (no corrections) in eV per atom: 0.183
Space group: R-3m (166)
Density of states at the Fermi level in states/eV/cell: 2.9
Calculated density in Mg/m³: 7.52

7.
Cs3CdBi after structural relaxation, computed with PBE. Values from VASP.

```
&SYSTEM
  ibrav = 0, nat = 5, ntyp = 3
/
ATOMIC_SPECIES
Cs 132.91 Cs.upf
Cd 112.41 Cd.upf
Bi 208.98 Bi.upf
CELL_PARAMETERS angstrom
7.636 0.000 0.000
0.000 7.636 0.000
0.000 0.000 7.636
ATOMIC_POSITIONS angstrom
Cs 0.000 0.000 3.818
Cs 0.000 3.818 0.000
Cs 3.818 0.000 0.000
Cd 3.818 3.818 3.818
Bi 0.000 0.000 0.000
```

## Properties
Space group: Pm-3m (221)
Density of states at the Fermi level in states/eV/cell: 1.7
Distance to the lowest polymorph of the same formula in meV/atom: 220
E_form in meV per atom: -55
Calculated density in Mg/m³: 2.69

8.
InP2IrO after structural relaxation, computed with PBE. Values from VASP.

```
&SYSTEM
  ibrav = 0, nat = 5, ntyp = 4
/
ATOMIC_SPECIES
In 114.82 In.upf
P 30.97 P.upf
Ir 192.22 Ir.upf
O 16.00 O.upf
CELL_PARAMETERS angstrom
4.959 0.000 0.000
0.000 4.959 0.000
0.000 0.000 3.723
ATOMIC_POSITIONS angstrom
In 0.000 0.000 0.000
P 0.000 2.480 1.861
P 2.480 0.000 1.861
Ir 2.480 2.480 1.861
O 2.480 2.480 0.000
```

## Properties
Formation energy (no corrections) in eV per atom: 0.141
Space group: P4/mmm (123)
Density of states at the Fermi level in states/eV/cell: 4.4
Distance to the lowest polymorph of the same formula in meV/atom: 0
Calculated density in Mg/m³: 6.98

9.
La2SmIn6 after structural relaxation, computed with PBE. Values from VASP.

```
&SYSTEM
  ibrav = 0, nat = 9, ntyp = 3
/
ATOMIC_SPECIES
La 138.91 La.upf
Sm 150.36 Sm.upf
In 114.82 In.upf
CELL_PARAMETERS angstrom
8.735 0.000 0.000
-4.367 7.565 0.000
0.000 0.000 3.768
ATOMIC_POSITIONS angstrom
La 0.000 5.043 0.000
La 4.367 2.522 0.000
Sm 0.000 0.000 0.000
In -1.447 2.506 1.884
In -2.920 5.058 1.884
In 2.894 0.000 1.884
In 1.447 2.506 1.884
In 5.841 0.000 1.884
In 2.920 5.058 1.884
```

## Properties
Space group: P6/mmm (191)
Density of states at the Fermi level in states/eV/cell: 4.7
E_form in meV per atom: -482
Calculated density in Mg/m³: 7.45

10.
LiTb8Hg2 after structural relaxation, computed with PBE. Values from VASP.

```
&SYSTEM
  ibrav = 0, nat = 11, ntyp = 3
/
ATOMIC_SPECIES
Li 6.94 Li.upf
Tb 158.93 Tb.upf
Hg 200.59 Hg.upf
CELL_PARAMETERS angstrom
8.971 -2.630 0.000
8.971 2.630 0.000
-1.872 0.000 6.720
ATOMIC_POSITIONS angstrom
Li 0.000 0.000 0.000
Tb 0.781 0.000 3.087
Tb 1.111 0.000 6.483
Tb 4.199 0.000 4.723
Tb 8.081 0.000 1.558
Tb 7.990 0.000 5.162
Tb 11.872 0.000 1.997
Tb 14.960 0.000 0.237
Tb 15.289 0.000 3.633
Hg 5.055 0.000 1.876
Hg 11.016 0.000 4.844
```

## Properties
Space group: C2/m (12)
Density of states at the Fermi level in states/eV/cell: 10.1
E_form in meV per atom: -129
Calculated density in Mg/m³: 8.79

11.
BaNaSr3 after structural relaxation, computed with PBE. Values from VASP.

```
&SYSTEM
  ibrav = 0, nat = 5, ntyp = 3
/
ATOMIC_SPECIES
Ba 137.33 Ba.upf
Na 22.99 Na.upf
Sr 87.62 Sr.upf
CELL_PARAMETERS angstrom
6.659 0.000 0.000
0.000 6.659 0.000
0.000 0.000 6.659
ATOMIC_POSITIONS angstrom
Ba 0.000 0.000 0.000
Na 3.329 3.329 3.329
Sr 0.000 3.329 3.329
Sr 3.329 0.000 3.329
Sr 3.329 3.329 0.000
```

## Properties
Space group: Pm-3m (221)
Density of states at the Fermi level in states/eV/cell: 6.4
Distance to the lowest polymorph of the same formula in meV/atom: 178
E_form in meV per atom: 215
Calculated density in Mg/m³: 2.38

12.
BaFeSi after structural relaxation, computed with PBE. Values from VASP.

```
&SYSTEM
  ibrav = 0, nat = 3, ntyp = 3
/
ATOMIC_SPECIES
Ba 137.33 Ba.upf
Fe 55.84 Fe.upf
Si 28.09 Si.upf
CELL_PARAMETERS angstrom
0.000 3.378 3.378
3.378 0.000 3.378
3.378 3.378 0.000
ATOMIC_POSITIONS angstrom
Ba 0.000 0.000 0.000
Fe 1.689 1.689 1.689
Si 3.378 3.378 3.378
```

## Properties
Formation energy (no corrections) in eV per atom: 0.614
Space group: F-43m (216)
Density of states at the Fermi level in states/eV/cell: 7.8
Calculated density in Mg/m³: 4.77

13.
ZrOsRh2N after structural relaxation, computed with PBE. Values from VASP.

```
&SYSTEM
  ibrav = 0, nat = 5, ntyp = 4
/
ATOMIC_SPECIES
Zr 91.22 Zr.upf
Os 190.23 Os.upf
Rh 102.91 Rh.upf
N 14.01 N.upf
CELL_PARAMETERS angstrom
4.899 0.000 0.000
0.000 4.899 0.000
0.000 0.000 3.670
ATOMIC_POSITIONS angstrom
Zr 0.000 0.000 0.000
Os 2.450 2.450 1.835
Rh 0.000 2.450 1.835
Rh 2.450 0.000 1.835
N 2.450 2.450 0.000
```

## Properties
Formation energy (no corrections) in eV per atom: 0.571
Space group: P4/mmm (123)
Density of states at the Fermi level in states/eV/cell: 3.7
Calculated density in Mg/m³: 9.45

14.
Li2CeNd2Ge2 after structural relaxation, computed with PBE. Values from VASP.

```
&SYSTEM
  ibrav = 0, nat = 7, ntyp = 4
/
ATOMIC_SPECIES
Li 6.94 Li.upf
Ce 140.12 Ce.upf
Nd 144.24 Nd.upf
Ge 72.64 Ge.upf
CELL_PARAMETERS angstrom
2.282 1.317 9.195
-2.282 1.317 9.195
0.000 -2.635 9.195
ATOMIC_POSITIONS angstrom
Li 0.000 0.000 2.858
Li 0.000 0.000 24.729
Ce 0.000 0.000 13.793
Nd 0.000 0.000 10.328
Nd 0.000 0.000 17.258
Ge 0.000 0.000 6.415
Ge 0.000 0.000 21.172
```

## Properties
Space group: R-3m (166)
Density of states at the Fermi level in states/eV/cell: 9.6
E_form in meV per atom: -438
Calculated density in Mg/m³: 5.89

15.
Tm2GeS after structural relaxation, computed with PBE. Values from VASP.

```
&SYSTEM
  ibrav = 0, nat = 16, ntyp = 3
/
ATOMIC_SPECIES
Tm 168.93 Tm.upf
Ge 72.64 Ge.upf
S 32.06 S.upf
CELL_PARAMETERS angstrom
5.632 0.000 0.000
0.000 5.633 0.000
0.000 0.000 11.274
ATOMIC_POSITIONS angstrom
Tm 0.000 1.405 1.426
Tm 0.000 1.411 7.029
Tm 0.000 4.222 4.245
Tm 0.000 4.228 9.847
Tm 2.816 1.405 4.210
Tm 2.816 1.411 9.881
Tm 2.816 4.222 1.392
Tm 2.816 4.228 7.063
Ge 0.000 1.411 9.865
Ge 0.000 4.222 1.409
Ge 2.816 1.411 7.046
Ge 2.816 4.222 4.228
S 0.000 1.406 4.228
S 0.000 4.227 7.046
S 2.816 1.406 1.409
S 2.816 4.227 9.865
```

## Properties
Formation energy (no corrections) in eV per atom: -1.460
Space group: Pmna (53)
Density of states at the Fermi level in states/eV/cell: 3.2
Distance to the lowest polymorph of the same formula in meV/atom: 0
Calculated density in Mg/m³: 8.22

16.
Pr6PuIn5 after structural relaxation, computed with PBE. Values from VASP.

```
&SYSTEM
  ibrav = 0, nat = 12, ntyp = 3
/
ATOMIC_SPECIES
Pr 140.91 Pr.upf
Pu 244.00 Pu.upf
In 114.82 In.upf
CELL_PARAMETERS angstrom
-2.631 4.320 7.916
2.631 -4.320 7.916
2.631 4.320 -7.916
ATOMIC_POSITIONS angstrom
Pr 2.631 2.128 -2.665
Pr 0.000 2.054 0.000
Pr 2.631 2.128 2.665
Pr 0.000 2.192 5.251
Pr 0.000 6.586 0.000
Pr 0.000 2.192 10.581
Pu 0.000 0.000 7.916
In 2.631 0.000 0.000
In 0.000 0.000 2.684
In 2.631 0.000 5.447
In 0.000 4.320 2.468
In 0.000 0.000 13.147
```

## Properties
Space group: Immm (71)
Density of states at the Fermi level in states/eV/cell: 14.7
E_form in meV per atom: -362
Calculated density in Mg/m³: 7.68

17.
BaAlCdHg2 after structural relaxation, computed with PBE. Values from VASP.

```
&SYSTEM
  ibrav = 0, nat = 5, ntyp = 4
/
ATOMIC_SPECIES
Ba 137.33 Ba.upf
Al 26.98 Al.upf
Cd 112.41 Cd.upf
Hg 200.59 Hg.upf
CELL_PARAMETERS angstrom
5.325 0.000 0.000
0.000 5.325 0.000
0.000 0.000 5.352
ATOMIC_POSITIONS angstrom
Ba 0.000 0.000 0.000
Al 2.663 2.663 2.676
Cd 2.663 2.663 0.000
Hg 0.000 2.663 2.676
Hg 2.663 0.000 2.676
```

## Properties
Space group: P4/mmm (123)
Density of states at the Fermi level in states/eV/cell: 2.9
Distance to the lowest polymorph of the same formula in meV/atom: 115
E_form in meV per atom: -177
Calculated density in Mg/m³: 7.42

18.
Mg5Tl4Pb after structural relaxation, computed with PBE. Values from VASP.

```
&SYSTEM
  ibrav = 0, nat = 10, ntyp = 3
/
ATOMIC_SPECIES
Mg 24.30 Mg.upf
Tl 204.38 Tl.upf
Pb 207.20 Pb.upf
CELL_PARAMETERS angstrom
3.689 0.000 0.000
0.000 3.689 0.000
0.000 0.000 18.471
ATOMIC_POSITIONS angstrom
Mg 0.000 0.000 0.000
Mg 0.000 0.000 3.677
Mg 0.000 0.000 7.299
Mg 0.000 0.000 11.172
Mg 0.000 0.000 14.795
Tl 1.845 1.845 1.823
Tl 1.845 1.845 5.495
Tl 1.845 1.845 12.977
Tl 1.845 1.845 16.649
Pb 1.845 1.845 9.236
```

## Properties
Space group: P4/mmm (123)
Density of states at the Fermi level in states/eV/cell: 4.0
E_form in meV per atom: -39
Calculated density in Mg/m³: 7.57

19.
SrAcAlGe after structural relaxation, computed with PBE. Values from VASP.

```
&SYSTEM
  ibrav = 0, nat = 4, ntyp = 4
/
ATOMIC_SPECIES
Sr 87.62 Sr.upf
Ac 227.00 Ac.upf
Al 26.98 Al.upf
Ge 72.64 Ge.upf
CELL_PARAMETERS angstrom
4.293 0.000 0.000
0.000 2.421 5.964
0.000 -2.421 5.964
ATOMIC_POSITIONS angstrom
Sr 0.000 0.000 0.000
Ac 2.146 0.000 3.346
Al 2.146 0.000 6.881
Ge 0.000 0.000 8.486
```

## Properties
Space group: Amm2 (38)
Density of states at the Fermi level in states/eV/cell: 2.1
Distance to the lowest polymorph of the same formula in meV/atom: 0
E_form in meV per atom: -495
Calculated density in Mg/m³: 5.55

20.
Rb2NdInS4 after structural relaxation, computed with PBE. Values from VASP.

```
&SYSTEM
  ibrav = 0, nat = 16, ntyp = 4
/
ATOMIC_SPECIES
Rb 85.47 Rb.upf
Nd 144.24 Nd.upf
In 114.82 In.upf
S 32.06 S.upf
CELL_PARAMETERS angstrom
-4.206 4.332 6.112
4.206 -4.332 6.112
4.206 4.332 -6.112
ATOMIC_POSITIONS angstrom
Rb 0.000 0.000 0.000
Rb -2.103 2.166 3.056
Rb 0.000 4.332 0.000
Rb 2.103 2.166 3.056
Nd 4.206 0.000 0.000
Nd 0.000 0.000 6.112
In 2.103 2.166 -3.056
In 2.103 -2.166 3.056
S 4.206 -0.392 2.905
S 4.206 3.940 -2.905
S 2.348 2.166 -0.232
S 6.064 2.166 -0.232
S -1.858 2.166 6.344
S 1.858 2.166 6.344
S 0.000 0.392 9.017
S 0.000 4.723 3.207
```

## Properties
Formation energy (no corrections) in eV per atom: -1.244
Space group: Imma (74)
Calculated density in Mg/m³: 4.16